#i
Tl3NiPb: relaxed, PBE-GGA.

a = 5.1755 Å, b = 5.1755 Å, c = 5.1755 Å
α = 90.00°, β = 90.00°, γ = 90.00°
Space group Pm-3m (No. 221)
Inequivalent atoms, fractional coordinates:
Tl 0.0000 0.0000 0.5000 [3 per cell]
Ni 0.0000 0.0000 0.0000 [1 per cell]
Pb 0.5000 0.5000 0.5000 [1 per cell]

#ii
Tl3NiPb: relaxed, PBE-GGA.

a = 6.0382 Å, b = 6.0382 Å, c = 6.0382 Å
α = 90.00°, β = 90.00°, γ = 90.00°
Space group Pm-3m (No. 221)
Inequivalent atoms, fractional coordinates:
Tl 0.0000 0.0000 0.5000 [3 per cell]
Ni 0.5000 0.5000 0.5000 [1 per cell]
Pb 0.0000 0.0000 0.0000 [1 per cell]

Most stable pick: #i. Distance to second place: 855 meV/atom.

#i
Tm5NiPb2: relaxed, PBE-GGA.

a = 12.1706 Å, b = 8.9060 Å, c = 7.8315 Å
α = 90.00°, β = 90.00°, γ = 90.00°
Space group Pnma (No. 62)
Inequivalent atoms, fractional coordinates:
Tm 0.0015 0.2500 0.0453 [4 per cell]
Tm 0.0683 0.5358 0.3223 [8 per cell]
Tm 0.1922 0.2500 0.6231 [4 per cell]
Tm 0.2077 0.7500 0.6569 [4 per cell]
Ni 0.0077 0.2500 0.4334 [4 per cell]
Pb 0.1721 0.0071 0.9291 [8 per cell]

#ii
Tm5NiPb2: relaxed, PBE-GGA.

a = 5.2406 Å, b = 16.5183 Å, c = 12.3942 Å
α = 90.00°, β = 90.00°, γ = 90.00°
Space group Cmcm (No. 63)
Inequivalent atoms, fractional coordinates:
Tm 0.0000 0.0912 0.1086 [8 per cell]
Tm 0.0000 0.2788 0.7500 [4 per cell]
Tm 0.0000 0.3027 0.0683 [8 per cell]
Ni 0.0000 0.2075 0.2500 [4 per cell]
Pb 0.0000 0.0984 0.6298 [8 per cell]

Most stable pick: #i. Distance to second place: 435 meV/atom.

#i
Tm4NiPb: relaxed, PBE-GGA.

a = 8.6603 Å, b = 12.7878 Å, c = 6.0303 Å
α = 90.00°, β = 108.42°, γ = 90.00°
Space group C2/c (No. 15)
Inequivalent atoms, fractional coordinates:
Tm 0.1097 0.1626 0.0515 [8 per cell]
Tm 0.2155 0.4176 0.3847 [8 per cell]
Ni 0.0000 0.0006 0.2500 [4 per cell]
Pb 0.0000 0.3737 0.7500 [4 per cell]

#ii
Tm4NiPb: relaxed, PBE-GGA.

a = 5.5419 Å, b = 6.8173 Å, c = 8.4115 Å
α = 90.00°, β = 102.08°, γ = 90.00°
Space group P2_1/m (No. 11)
Inequivalent atoms, fractional coordinates:
Tm 0.1284 0.2500 0.0591 [2 per cell]
Tm 0.2086 0.7500 0.3537 [2 per cell]
Tm 0.3406 0.5059 0.7811 [4 per cell]
Ni 0.3476 0.7500 0.0483 [2 per cell]
Pb 0.2256 0.2500 0.4332 [2 per cell]

Most stable pick: #ii. Distance to second place: 31 meV/atom.

#i
Tm3NiPb: relaxed, PBE-GGA.

a = 7.6292 Å, b = 4.4272 Å, c = 8.2366 Å
α = 90.00°, β = 114.54°, γ = 90.00°
Space group P2_1/m (No. 11)
Inequivalent atoms, fractional coordinates:
Tm 0.0464 0.2500 0.2466 [2 per cell]
Tm 0.3239 0.2500 0.9192 [2 per cell]
Tm 0.3281 0.7500 0.5947 [2 per cell]
Ni 0.0636 0.2500 0.5839 [2 per cell]
Pb 0.3250 0.7500 0.2008 [2 per cell]

#ii
Tm3NiPb: relaxed, PBE-GGA.

a = 5.1322 Å, b = 5.1322 Å, c = 5.1322 Å
α = 90.00°, β = 90.00°, γ = 90.00°
Space group Pm-3m (No. 221)
Inequivalent atoms, fractional coordinates:
Tm 0.0000 0.0000 0.5000 [3 per cell]
Ni 0.0000 0.0000 0.0000 [1 per cell]
Pb 0.5000 0.5000 0.5000 [1 per cell]

#iii
Tm3NiPb: relaxed, PBE-GGA.

a = 4.6431 Å, b = 6.6441 Å, c = 8.3592 Å
α = 90.00°, β = 90.00°, γ = 90.00°
Space group Pmmn (No. 59, origin choice 2)
Inequivalent atoms, fractional coordinates:
Tm 0.2500 0.0031 0.1521 [4 per cell]
Tm 0.2500 0.7500 0.5852 [2 per cell]
Ni 0.2500 0.7500 0.8998 [2 per cell]
Pb 0.2500 0.2500 0.6586 [2 per cell]

Most stable pick: #i. Distance to second place: 56 meV/atom.

#i
Tm4NiPb2: relaxed, PBE-GGA.

a = 4.9108 Å, b = 4.9108 Å, c = 16.3181 Å
α = 90.00°, β = 90.00°, γ = 90.00°
Space group I4/mmm (No. 139)
Inequivalent atoms, fractional coordinates:
Tm 0.0000 0.0000 0.1717 [4 per cell]
Tm 0.0000 0.5000 0.0000 [4 per cell]
Ni 0.0000 0.0000 0.0000 [2 per cell]
Pb 0.0000 0.0000 0.3608 [4 per cell]

#ii
Tm4NiPb2: relaxed, PBE-GGA.

a = 6.4881 Å, b = 6.6513 Å, c = 9.0436 Å
α = 90.00°, β = 105.45°, γ = 90.00°
Space group P2_1/m (No. 11)
Inequivalent atoms, fractional coordinates:
Tm 0.1882 0.2500 0.0919 [2 per cell]
Tm 0.2491 0.7500 0.3742 [2 per cell]
Tm 0.2994 0.0002 0.7479 [4 per cell]
Ni 0.4602 0.2500 0.3671 [2 per cell]
Pb 0.1073 0.2500 0.4398 [2 per cell]
Pb 0.3186 0.7500 0.0466 [2 per cell]

Most stable pick: #ii. Distance to second place: 10 meV/atom.

#i
NiPbW3: relaxed, PBE-GGA.

a = 4.9617 Å, b = 4.9617 Å, c = 4.9617 Å
α = 90.00°, β = 90.00°, γ = 90.00°
Space group Pm-3m (No. 221)
Inequivalent atoms, fractional coordinates:
Ni 0.0000 0.0000 0.0000 [1 per cell]
Pb 0.5000 0.5000 0.5000 [1 per cell]
W 0.0000 0.5000 0.5000 [3 per cell]

#ii
NiPbW3: relaxed, PBE-GGA.

a = 4.5643 Å, b = 4.5643 Å, c = 4.5643 Å
α = 90.00°, β = 90.00°, γ = 90.00°
Space group Pm-3m (No. 221)
Inequivalent atoms, fractional coordinates:
Ni 0.0000 0.0000 0.0000 [1 per cell]
Pb 0.5000 0.5000 0.5000 [1 per cell]
W 0.0000 0.0000 0.5000 [3 per cell]

Most stable pick: #ii. Distance to second place: 1940 meV/atom.

#i
Ni2PbW2: relaxed, PBE-GGA.

a = 3.7165 Å, b = 3.7165 Å, c = 12.3007 Å
α = 90.00°, β = 90.00°, γ = 90.00°
Space group I4/mmm (No. 139)
Inequivalent atoms, fractional coordinates:
Ni 0.0000 0.0000 0.1012 [4 per cell]
Pb 0.0000 0.0000 0.5000 [2 per cell]
W 0.0000 0.5000 0.2500 [4 per cell]

#ii
Ni2PbW2: relaxed, PBE-GGA.

a = 7.6246 Å, b = 7.6246 Å, c = 2.8271 Å
α = 90.00°, β = 90.00°, γ = 90.00°
Space group P4/mbm (No. 127)
Inequivalent atoms, fractional coordinates:
Ni 0.1673 0.3327 0.0000 [4 per cell]
Pb 0.0000 0.0000 0.5000 [2 per cell]
W 0.1180 0.6180 0.5000 [4 per cell]

#iii
Ni2PbW2: relaxed, PBE-GGA.

a = 4.0167 Å, b = 4.0167 Å, c = 10.7270 Å
α = 90.00°, β = 90.00°, γ = 90.00°
Space group I4/mmm (No. 139)
Inequivalent atoms, fractional coordinates:
Ni 0.0000 0.5000 0.2500 [4 per cell]
Pb 0.0000 0.0000 0.0000 [2 per cell]
W 0.0000 0.0000 0.3814 [4 per cell]

Most stable pick: #i. Distance to second place: 42 meV/atom.

#i
YNiPb2: relaxed, PBE-GGA.

a = 3.8423 Å, b = 4.2137 Å, c = 12.5455 Å
α = 90.00°, β = 90.00°, γ = 90.00°
Space group Amm2 (No. 38)
Inequivalent atoms, fractional coordinates:
Y 0.0000 0.0000 0.0000 [2 per cell]
Ni 0.5000 0.0000 0.4420 [2 per cell]
Pb 0.0000 0.0000 0.2847 [2 per cell]
Pb 0.5000 0.0000 0.6568 [2 per cell]

#ii
YNiPb2: relaxed, PBE-GGA.

a = 7.3323 Å, b = 7.3323 Å, c = 7.3323 Å
α = 90.00°, β = 90.00°, γ = 90.00°
Space group F-43m (No. 216)
Inequivalent atoms, fractional coordinates:
Y 0.0000 0.0000 0.0000 [4 per cell]
Ni 0.2500 0.2500 0.7500 [4 per cell]
Pb 0.0000 0.0000 0.5000 [4 per cell]
Pb 0.2500 0.2500 0.2500 [4 per cell]

Most stable pick: #i. Distance to second place: 173 meV/atom.

#i
YNiPb2: relaxed, PBE-GGA.

a = 4.5009 Å, b = 5.5265 Å, c = 7.6346 Å
α = 90.00°, β = 90.00°, γ = 90.00°
Space group Cmmm (No. 65)
Inequivalent atoms, fractional coordinates:
Y 0.0000 0.0000 0.0000 [2 per cell]
Ni 0.0000 0.0000 0.5000 [2 per cell]
Pb 0.0000 0.5000 0.2947 [4 per cell]

#ii
YNiPb2: relaxed, PBE-GGA.

a = 3.4998 Å, b = 5.6347 Å, c = 9.8410 Å
α = 90.00°, β = 90.00°, γ = 90.00°
Space group Immm (No. 71)
Inequivalent atoms, fractional coordinates:
Y 0.0000 0.0000 0.0000 [2 per cell]
Ni 0.0000 0.0000 0.5000 [2 per cell]
Pb 0.0000 0.5000 0.2091 [4 per cell]

#iii
YNiPb2: relaxed, PBE-GGA.

a = 3.4679 Å, b = 3.4679 Å, c = 8.2759 Å
α = 90.00°, β = 90.00°, γ = 90.00°
Space group P4mm (No. 99)
Inequivalent atoms, fractional coordinates:
Y 0.0000 0.0000 0.0000 [1 per cell]
Ni 0.5000 0.5000 0.1775 [1 per cell]
Pb 0.0000 0.0000 0.3899 [1 per cell]
Pb 0.5000 0.5000 0.7037 [1 per cell]

Most stable pick: #iii. Distance to second place: 66 meV/atom.

#i
YNiPb2: relaxed, PBE-GGA.

a = 11.4799 Å, b = 3.7468 Å, c = 4.9641 Å
α = 90.00°, β = 114.21°, γ = 90.00°
Space group Cm (No. 8)
Inequivalent atoms, fractional coordinates:
Y 0.0000 0.0000 0.0000 [2 per cell]
Ni 0.2123 0.5000 0.1460 [2 per cell]
Pb 0.2027 0.0000 0.6943 [2 per cell]
Pb 0.4087 0.0000 0.4107 [2 per cell]

#ii
YNiPb2: relaxed, PBE-GGA.

a = 4.5020 Å, b = 4.5020 Å, c = 20.7288 Å
α = 90.00°, β = 90.00°, γ = 90.00°
Space group I-42d (No. 122)
Inequivalent atoms, fractional coordinates:
Y 0.0000 0.0000 0.0000 [4 per cell]
Ni 0.0000 0.0000 0.5000 [4 per cell]
Pb 0.2245 0.2500 0.6250 [8 per cell]

#iii
YNiPb2: relaxed, PBE-GGA.

a = 7.7308 Å, b = 4.4853 Å, c = 6.1023 Å
α = 90.00°, β = 115.14°, γ = 90.00°
Space group C2/m (No. 12)
Inequivalent atoms, fractional coordinates:
Y 0.0000 0.0000 0.0000 [2 per cell]
Ni 0.0000 0.5000 0.5000 [2 per cell]
Pb 0.2274 0.0000 0.6815 [4 per cell]

#iv
YNiPb2: relaxed, PBE-GGA.

a = 7.2427 Å, b = 7.2427 Å, c = 7.2427 Å
α = 90.00°, β = 90.00°, γ = 90.00°
Space group Fm-3m (No. 225)
Inequivalent atoms, fractional coordinates:
Y 0.0000 0.0000 0.0000 [4 per cell]
Ni 0.0000 0.0000 0.5000 [4 per cell]
Pb 0.2500 0.2500 0.2500 [8 per cell]

Most stable pick: #iii. Distance to second place: 50 meV/atom.